{"formula": "TlCr2AsO8", "functional": "PBE with a Hubbard U", "state": "relaxed", "m_tot_mub_per_cell": 0.0, "e_tot_ev_per_atom": -6.25, "spacegroup": "C2/m", "lattice": [[4.480, -2.821, 0.000], [4.480, 2.821, 0.000], [-0.618, 0.000, 8.110]], "species": ["Tl", "Cr", "Cr", "As", "O", "O", "O", "O", "O", "O", "O", "O"], "fractional_positions": [[0.000, 0.000, 0.000], [0.372, 0.372, 0.705], [0.628, 0.628, 0.295], [0.000, 0.000, 0.500], [0.227, 0.227, 0.560], [0.230, 0.724, 0.684], [0.276, 0.770, 0.316], [0.313, 0.313, 0.889], [0.687, 0.687, 0.111], [0.724, 0.230, 0.684], [0.770, 0.276, 0.316], [0.773, 0.773, 0.440]]}